No. 1
Density functional theory data (PBE) for CaNi2BPd after structural relaxation.

Cell: 4.0192 4.0192 4.3257 Å, 90.00 90.00 90.00°
Atoms (fractional coordinates):
Ni (0.5000, 0.0000, 0.0000)
Ni (0.0000, 0.5000, 0.0000)
Ca (0.5000, 0.5000, 0.5000)
Pd (0.0000, 0.0000, 0.5000)
B (0.0000, 0.0000, 0.0000)

- E_form: -302 meV/atom
- VASP energy: -5.389 eV per atom
- D(E_F): 0.907 states/eV/atom
- Calculated volume: 13.98 Å³ per atom
- Space-group type: P4/mmm, No. 123

No. 2
Density functional theory data (PBE) for CaNiBPd2 after structural relaxation.

Cell: 4.3367 4.3367 3.9896 Å, 90.00 90.00 90.00°
Atoms (fractional coordinates):
Pd (0.5000, 0.0000, 0.0000)
Ni (0.0000, 0.0000, 0.5000)
B (0.0000, 0.0000, 0.0000)
Pd (0.0000, 0.5000, 0.0000)
Ca (0.5000, 0.5000, 0.5000)

- E_form: -420 meV/atom
- VASP energy: -5.389 eV per atom
- D(E_F): 0.820 states/eV/atom
- Calculated volume: 15.01 Å³ per atom
- Space-group type: P4/mmm, No. 123

No. 3
Density functional theory data (PBE) for CaNiBPt2 after structural relaxation.

Cell: 4.2975 4.2975 4.0746 Å, 90.00 90.00 90.00°
Atoms (fractional coordinates):
Pt (0.0000, 0.5000, 0.0000)
Ni (0.0000, 0.0000, 0.5000)
B (0.0000, 0.0000, 0.0000)
Ca (0.5000, 0.5000, 0.5000)
Pt (0.5000, 0.0000, 0.0000)

- E_form: -520 meV/atom
- VASP energy: -5.829 eV per atom
- D(E_F): 0.716 states/eV/atom
- Calculated volume: 15.05 Å³ per atom
- Space-group type: P4/mmm, No. 123

No. 4
Density functional theory data (PBE) for CaNi2BRh after structural relaxation.

Cell: 3.9739 3.9739 4.1261 Å, 90.00 90.00 90.00°
Atoms (fractional coordinates):
Rh (0.0000, 0.0000, 0.5000)
B (0.0000, 0.0000, 0.0000)
Ca (0.5000, 0.5000, 0.5000)
Ni (0.5000, 0.0000, 0.0000)
Ni (0.0000, 0.5000, 0.0000)

- E_form: -351 meV/atom
- VASP energy: -5.870 eV per atom
- D(E_F): 0.093 states/eV/atom
- Calculated volume: 13.03 Å³ per atom
- Space-group type: P4/mmm, No. 123

No. 5
Density functional theory data (PBE) for CaNiB2Ru after structural relaxation.

Cell: 3.7327 3.7327 5.6482 Å, 109.30 109.30 90.00°
Atoms (fractional coordinates):
B (0.6626, 0.6626, 0.3252)
B (0.3374, 0.3374, 0.6748)
Ni (0.7500, 0.2500, 0.5000)
Ru (0.2500, 0.7500, 0.5000)
Ca (0.0000, 0.0000, 0.0000)

- E_form: -392 meV/atom
- VASP energy: -6.474 eV per atom
- D(E_F): 0.130 states/eV/atom
- Calculated volume: 13.92 Å³ per atom
- Space-group type: I-4m2, No. 119

No. 6
Density functional theory data (PBE) for CaNi2BRu after structural relaxation.

Cell: 4.0336 4.0336 4.1570 Å, 90.00 90.00 90.00°
Atoms (fractional coordinates):
Ru (0.0000, 0.0000, 0.5000)
B (0.0000, 0.0000, 0.0000)
Ni (0.5000, 0.0000, 0.0000)
Ni (0.0000, 0.5000, 0.0000)
Ca (0.5000, 0.5000, 0.5000)

- E_form: -138 meV/atom
- VASP energy: -6.041 eV per atom
- D(E_F): 1.075 states/eV/atom
- Calculated volume: 13.53 Å³ per atom
- Space-group type: P4/mmm, No. 123

No. 7
Density functional theory data (PBE) for CaScNiB2 after structural relaxation.

Cell: 4.0512 4.5597 4.0512 Å, 90.00 90.00 90.00°
Atoms (fractional coordinates):
Ni (0.0000, 0.0000, 0.0000)
Ca (0.0000, 0.5000, 0.0000)
Sc (0.5000, 0.5000, 0.5000)
B (0.0000, 0.0000, 0.5000)
B (0.5000, 0.0000, 0.0000)

- E_form: 672 meV/atom
- VASP energy: -4.822 eV per atom
- D(E_F): 0.525 states/eV/atom
- Calculated volume: 14.97 Å³ per atom
- Space-group type: P4/mmm, No. 123

No. 8
Density functional theory data (PBE) for Ca2NiBTe after structural relaxation.

Cell: 5.3487 5.3487 3.8525 Å, 90.00 90.00 90.00°
Atoms (fractional coordinates):
Ca (0.5000, 0.0000, 0.0000)
Ca (0.0000, 0.5000, 0.0000)
Te (0.5000, 0.5000, 0.5000)
B (0.0000, 0.0000, 0.0000)
Ni (0.0000, 0.0000, 0.5000)

- VASP energy: -4.381 eV per atom
- D(E_F): 0.446 states/eV/atom
- Calculated volume: 22.04 Å³ per atom
- Space-group type: P4/mmm, No. 123
- E_form (uncorrected): -0.46 eV per atom

No. 9
Density functional theory data (PBE) for Ca2TiNiB after structural relaxation.

Cell: 5.6666 3.9318 5.6666 Å, 90.00 90.00 90.00°
Atoms (fractional coordinates):
Ca (0.0000, 0.0000, 0.5000)
B (0.0000, 0.5000, 0.0000)
Ni (0.5000, 0.5000, 0.5000)
Ti (0.0000, 0.0000, 0.0000)
Ca (0.5000, 0.0000, 0.0000)

- E_form: 1168 meV/atom
- VASP energy: -3.704 eV per atom
- D(E_F): 1.039 states/eV/atom
- Calculated volume: 25.25 Å³ per atom
- Space-group type: P4/mmm, No. 123
- E above lowest polymorph: 0 meV/atom

No. 10
Density functional theory data (PBE) for Ca2TiNiB after structural relaxation.

Cell: 5.6617 4.1596 5.6617 Å, 90.00 90.00 90.00°
Atoms (fractional coordinates):
Ti (0.0000, 0.0000, 0.0000)
Ca (0.0000, 0.0000, 0.5000)
Ca (0.5000, 0.0000, 0.0000)
Ni (0.0000, 0.5000, 0.0000)
B (0.5000, 0.5000, 0.5000)

- E_form: 1391 meV/atom
- VASP energy: -3.480 eV per atom
- D(E_F): 0.813 states/eV/atom
- Calculated volume: 26.67 Å³ per atom
- Space-group type: P4/mmm, No. 123
- E above lowest polymorph: 224 meV/atom

No. 11
Density functional theory data (PBE) for CaB3O6 after structural relaxation.

Cell: 4.4261 7.0484 13.8177 Å, 90.00 90.00 90.00°
Atoms (fractional coordinates):
B (0.5524, 0.8619, 0.8523)
B (0.5524, 0.6381, 0.3523)
O (0.8632, 0.2268, 0.0759)
O (0.4563, 0.3147, 0.9783)
O (0.4217, 0.4552, 0.3218)
O (0.6082, 0.7449, 0.7644)
O (0.3632, 0.7732, 0.9241)
B (0.3408, 0.1147, 0.7329)
O (0.4805, 0.4309, 0.1467)
B (0.8408, 0.8853, 0.2671)
B (0.5435, 0.2280, 0.5771)
B (0.0524, 0.1381, 0.1477)
B (0.3408, 0.3853, 0.2329)
O (0.8528, 0.8980, 0.9002)
O (0.9805, 0.9309, 0.3533)
O (0.3632, 0.7268, 0.4241)
Ca (0.4856, 0.7394, 0.5894)
O (0.1082, 0.2551, 0.2356)
O (0.9563, 0.8147, 0.5217)
O (0.9563, 0.6853, 0.0217)
B (0.8408, 0.6147, 0.7671)
Ca (0.9856, 0.2606, 0.4106)
O (0.4563, 0.1853, 0.4783)
O (0.9805, 0.5691, 0.8533)
O (0.4805, 0.0691, 0.6467)
O (0.9217, 0.5448, 0.6782)
O (0.6082, 0.7551, 0.2644)
O (0.8528, 0.6020, 0.4002)
O (0.1082, 0.2449, 0.7356)
O (0.4217, 0.0448, 0.8218)
O (0.8632, 0.2732, 0.5759)
B (0.0435, 0.7720, 0.4229)
B (0.5435, 0.2720, 0.0771)
B (0.0435, 0.7280, 0.9229)
O (0.3528, 0.1020, 0.0998)
O (0.3528, 0.3980, 0.5998)
B (0.0524, 0.3619, 0.6477)
Ca (0.4856, 0.7606, 0.0894)
Ca (0.9856, 0.2394, 0.9106)
O (0.9217, 0.9552, 0.1782)

- VASP energy: -7.599 eV per atom
- D(E_F): 0.002 states/eV/atom
- Calculated volume: 10.78 Å³ per atom
- Space-group type: Pna2_1, No. 33
- E_form (uncorrected): -2.42 eV per atom
- E above lowest polymorph: 0 meV/atom

No. 12
Density functional theory data (PBE) for CaB2O10 after structural relaxation.

Cell: 7.2939 10.8567 7.2368 Å, 66.04 90.00 90.00°
Atoms (fractional coordinates):
O (0.1727, 0.1565, 0.8547)
O (0.7828, 0.9751, 0.6293)
O (0.2039, 0.9007, 0.4483)
O (0.7961, 0.0993, 0.5517)
O (0.4628, 0.0611, 0.9339)
O (0.2172, 0.4751, 0.6293)
B (0.7323, 0.5446, 0.8870)
O (0.2039, 0.5993, 0.5517)
B (0.2677, 0.4554, 0.1130)
Ca (0.0240, 0.7500, 0.0000)
O (0.8273, 0.8435, 0.1453)
O (0.7828, 0.5249, 0.3707)
O (0.4628, 0.4389, 0.0661)
B (0.7323, 0.9554, 0.1130)
O (0.8273, 0.6565, 0.8547)
O (0.2059, 0.9311, 0.8824)
B (0.2677, 0.0446, 0.8870)
O (0.1727, 0.3435, 0.1453)
O (0.5372, 0.5611, 0.9339)
O (0.2059, 0.5689, 0.1176)
O (0.7941, 0.4311, 0.8824)
O (0.7961, 0.4007, 0.4483)
O (0.7941, 0.0689, 0.1176)
Ca (0.9760, 0.2500, 0.0000)
O (0.5372, 0.9389, 0.0661)
O (0.2172, 0.0249, 0.3707)

- VASP energy: -6.148 eV per atom
- D(E_F): 0.621 states/eV/atom
- Calculated volume: 20.14 Å³ per atom
- Space-group type: P2/c, No. 13
- E_form (uncorrected): -1.15 eV per atom
- E above lowest polymorph: 144 meV/atom

No. 13
Density functional theory data (PBE) for CaB2O10 after structural relaxation.

Cell: 7.6926 7.6926 10.0470 Å, 77.30 77.30 45.49°
Atoms (fractional coordinates):
O (0.2668, 0.7366, 0.9683)
O (0.5162, 0.3782, 0.3978)
O (0.9030, 0.2749, 0.6320)
Ca (0.9088, 0.0912, 0.2500)
O (0.7251, 0.0970, 0.8680)
O (0.9883, 0.6078, 0.7523)
O (0.3782, 0.5162, 0.8978)
O (0.4579, 0.0826, 0.6457)
O (0.2634, 0.7332, 0.5317)
O (0.2749, 0.9030, 0.1320)
B (0.2899, 0.6115, 0.4303)
O (0.0970, 0.7251, 0.3680)
O (0.7332, 0.2634, 0.0317)
B (0.6115, 0.2899, 0.9303)
O (0.6078, 0.9883, 0.2523)
Ca (0.0912, 0.9088, 0.7500)
O (0.9174, 0.5421, 0.8543)
O (0.0117, 0.3922, 0.2477)
O (0.7366, 0.2668, 0.4683)
O (0.3922, 0.0117, 0.7477)
O (0.5421, 0.9174, 0.3543)
O (0.4838, 0.6218, 0.6022)
B (0.3885, 0.7101, 0.0697)
O (0.0826, 0.4579, 0.1457)
B (0.7101, 0.3885, 0.5697)
O (0.6218, 0.4838, 0.1022)

- VASP energy: -6.206 eV per atom
- Calculated volume: 15.84 Å³ per atom
- Space-group type: C2/c, No. 15
- E_form (uncorrected): -1.21 eV per atom
- E above lowest polymorph: 86 meV/atom

No. 14
Density functional theory data (PBE) for Ca2B2O5 after structural relaxation.

Cell: 5.2154 7.2731 11.6464 Å, 92.49 90.00 90.00°
Atoms (fractional coordinates):
O (0.5928, 0.7744, 0.0158)
O (0.8074, 0.8904, 0.8569)
O (0.3210, 0.6441, 0.5708)
O (0.4072, 0.2256, 0.9842)
O (0.6926, 0.8904, 0.3569)
O (0.6442, 0.1465, 0.1571)
O (0.9199, 0.5937, 0.6750)
O (0.1442, 0.8535, 0.3429)
O (0.1926, 0.1096, 0.1431)
Ca (0.9333, 0.3832, 0.1338)
B (0.4369, 0.6644, 0.0889)
O (0.9072, 0.7744, 0.5158)
O (0.4199, 0.4063, 0.8250)
B (0.5776, 0.8445, 0.9042)
O (0.1790, 0.6441, 0.0708)
B (0.9224, 0.8445, 0.4042)
O (0.0928, 0.2256, 0.4842)
O (0.8210, 0.3559, 0.9292)
Ca (0.5667, 0.3832, 0.6338)
Ca (0.4333, 0.6168, 0.3662)
Ca (0.0667, 0.6168, 0.8662)
O (0.3074, 0.1096, 0.6431)
Ca (0.3989, 0.1230, 0.3350)
O (0.0801, 0.4063, 0.3250)
O (0.6790, 0.3559, 0.4292)
Ca (0.1011, 0.1230, 0.8350)
Ca (0.8989, 0.8770, 0.1650)
B (0.4224, 0.1555, 0.0958)
O (0.3558, 0.8535, 0.8429)
B (0.0776, 0.1555, 0.5958)
O (0.8558, 0.1465, 0.6571)
Ca (0.6011, 0.8770, 0.6650)
B (0.5631, 0.3356, 0.9111)
B (0.0631, 0.6644, 0.5889)
O (0.5801, 0.5937, 0.1750)
B (0.9369, 0.3356, 0.4111)

- VASP energy: -7.532 eV per atom
- D(E_F): 0.000 states/eV/atom
- Calculated volume: 12.26 Å³ per atom
- Space-group type: P2_1/c, No. 14
- E_form (uncorrected): -2.85 eV per atom
- E above lowest polymorph: 6 meV/atom

No. 15
Density functional theory data (PBE) for CaBO2 after structural relaxation.

Cell: 5.0448 5.0448 4.6800 Å, 57.39 57.39 90.00°
Atoms (fractional coordinates):
O (0.8750, 0.7239, 0.7500)
O (0.3750, 0.5261, 0.7500)
O (0.4739, 0.1250, 0.2500)
Ca (0.0000, 0.0000, 0.0000)
B (0.2500, 0.7500, 0.5000)
B (0.5000, 0.5000, 0.0000)
Ca (0.7500, 0.2500, 0.5000)
O (0.2761, 0.6250, 0.2500)

- VASP energy: -6.229 eV per atom
- D(E_F): 0.523 states/eV/atom
- Calculated volume: 9.64 Å³ per atom
- Space-group type: I-42d, No. 122
- E_form (uncorrected): -1.58 eV per atom

No. 16
Density functional theory data (PBE) for CaB2O4 after structural relaxation.

Cell: 4.0821 4.5959 8.2842 Å, 90.00 90.00 116.37°
Atoms (fractional coordinates):
B (0.2430, 0.4867, 0.0000)
O (0.3751, 0.2350, 0.0000)
O (0.6249, 0.7650, 0.0000)
O (0.5000, 0.5000, 0.3681)
O (0.0000, 0.5000, 0.1319)
O (0.0000, 0.5000, 0.8681)
O (0.8599, 0.2350, 0.5000)
B (0.7570, 0.5133, 0.0000)
O (0.5000, 0.5000, 0.6319)
O (0.1401, 0.7650, 0.5000)
Ca (0.5000, 0.0000, 0.7500)
B (0.2437, 0.4867, 0.5000)
B (0.7563, 0.5133, 0.5000)
Ca (0.5000, 0.0000, 0.2500)

- VASP energy: -7.649 eV per atom
- D(E_F): 0.000 states/eV/atom
- Calculated volume: 9.95 Å³ per atom
- Space-group type: Cccm, No. 66
- E_form (uncorrected): -2.62 eV per atom
- E above lowest polymorph: 107 meV/atom

No. 17
Density functional theory data (PBE) for CaB4O7 after structural relaxation.

Cell: 4.2348 4.4145 10.7213 Å, 90.00 90.00 90.00°
Atoms (fractional coordinates):
B (0.0914, 0.3269, 0.3793)
Ca (0.0866, 0.1894, 0.0000)
O (0.6672, 0.3534, 0.1389)
O (0.7011, 0.7786, 0.0000)
O (0.1672, 0.6466, 0.6389)
O (0.7577, 0.8648, 0.7766)
O (0.2530, 0.7262, 0.1341)
B (0.6158, 0.1776, 0.7492)
O (0.6672, 0.3534, 0.8611)
O (0.7577, 0.8648, 0.2234)
B (0.0914, 0.3269, 0.6207)
O (0.7530, 0.2738, 0.6341)
Ca (0.5866, 0.8106, 0.5000)
O (0.2011, 0.2214, 0.5000)
O (0.2577, 0.1352, 0.2766)
O (0.2530, 0.7262, 0.8659)
O (0.1672, 0.6466, 0.3611)
B (0.5914, 0.6731, 0.1207)
O (0.2577, 0.1352, 0.7234)
B (0.1158, 0.8224, 0.2492)
B (0.1158, 0.8224, 0.7508)
B (0.5914, 0.6731, 0.8793)
B (0.6158, 0.1776, 0.2508)
O (0.7530, 0.2738, 0.3659)

- VASP energy: -7.872 eV per atom
- D(E_F): 0.000 states/eV/atom
- Calculated volume: 8.35 Å³ per atom
- Space-group type: Pmn2_1, No. 31
- E_form (uncorrected): -2.59 eV per atom
- E above lowest polymorph: 31 meV/atom

No. 18
Density functional theory data (PBE) for CaB2O after structural relaxation.

Cell: 3.2421 3.2421 9.8800 Å, 80.56 80.56 90.00°
Atoms (fractional coordinates):
O (0.2500, 0.7500, 0.5000)
B (0.8750, 0.6250, 0.7500)
Ca (0.0000, 0.0000, 0.0000)
B (0.3750, 0.1250, 0.2500)
Ca (0.7500, 0.2500, 0.5000)
B (0.3750, 0.6250, 0.7500)
B (0.3750, 0.6250, 0.2500)
O (0.5000, 0.5000, 0.0000)

- VASP energy: -5.698 eV per atom
- D(E_F): 0.360 states/eV/atom
- Calculated volume: 12.63 Å³ per atom
- Space-group type: I4_1/amd, No. 141
- E_form (uncorrected): -0.62 eV per atom

No. 19
Density functional theory data (PBE) for CaBO2 after structural relaxation.

Cell: 6.1033 7.0131 5.6503 Å, 117.54 90.00 90.00°
Atoms (fractional coordinates):
B (0.6270, 0.4510, 0.0199)
Ca (0.5257, 0.2398, 0.4605)
B (0.3730, 0.5490, 0.9801)
Ca (0.4743, 0.7602, 0.5395)
O (0.8304, 0.9154, 0.7371)
Ca (0.0257, 0.2602, 0.0395)
Ca (0.9743, 0.7398, 0.9605)
O (0.1696, 0.0846, 0.2629)
B (0.1270, 0.0490, 0.4801)
O (0.7866, 0.4111, 0.8279)
O (0.6696, 0.4154, 0.2371)
O (0.2866, 0.0889, 0.6721)
O (0.2134, 0.5889, 0.1721)
O (0.3304, 0.5846, 0.7629)
O (0.7134, 0.9111, 0.3279)
B (0.8730, 0.9510, 0.5199)

- VASP energy: -7.186 eV per atom
- D(E_F): 0.000 states/eV/atom
- Calculated volume: 13.40 Å³ per atom
- Space-group type: P2_1/c, No. 14
- E_form (uncorrected): -2.54 eV per atom